1.
Density functional theory data (PBE) for a relaxed structure of SmGd3Fe.

extended XYZ file:
```
5
Lattice="-2.825 -1.173 -4.355 -4.127 -1.401 3.054 -1.820 4.999 -0.165" Properties=species:S:1:pos:R:3 pbc="T T T"
Gd -1.413 -0.586 -2.178
Fe 0.000 0.000 0.000
Gd -2.064 -0.701 1.527
Sm -4.386 1.212 -0.733
Gd -0.910 2.499 -0.083
```

mass density: 7.5 g/cm³
V: 150.77 Å³/f.u.
N(E_F): 6.746 states/eV/cell
ΔH_f (0 K): 103 meV/atom
final energy: -10.982 eV/atom


2.
Density functional theory data (PBE) for a relaxed structure of TiBe2Sn.

extended XYZ file:
```
8
Lattice="-3.153 5.040 -3.337 -0.732 -4.054 -5.432 -4.313 -0.358 -3.429" Properties=species:S:1:pos:R:3 pbc="T T T"
Be -1.903 -2.036 -4.641
Be -3.167 2.596 -3.650
Ti -3.494 -1.960 -6.623
Ti -1.943 0.493 -4.384
Be -4.686 0.135 -5.814
Sn -4.705 2.587 -5.575
Sn 0.000 0.000 0.000
Be -6.641 0.559 -10.290
```

mass density: 4.9 g/cm³
V: 62.60 Å³/f.u.
N(E_F): 3.292 states/eV/cell
ΔH_f (0 K): 451 meV/atom
final energy: -4.387 eV/atom